{"formula": "Ho5Ga2Pd2", "functional": "PBE", "state": "optimized geometry", "e_tot_ev_per_atom": -4.987, "n_ef_per_ev_cell": 15.665, "density_g_cm3": 8.9, "e_form_kj_per_mol_fu": -536, "cell": [[7.483, -4.118, 0.000], [7.483, 4.118, 0.000], [0.000, 0.000, 7.122]], "species": ["Ho", "Ho", "Ho", "Ho", "Ho", "Ho", "Ho", "Ho", "Ho", "Ho", "Ga", "Ga", "Ga", "Ga", "Pd", "Pd", "Pd", "Pd"], "fractional_positions": [[0.000, 0.000, 0.000], [0.047, 0.685, 0.655], [0.185, 0.547, 0.155], [0.315, 0.953, 0.655], [0.453, 0.815, 0.155], [0.500, 0.500, 0.500], [0.547, 0.185, 0.845], [0.685, 0.047, 0.345], [0.815, 0.453, 0.845], [0.953, 0.315, 0.345], [0.206, 0.206, 0.000], [0.294, 0.294, 0.500], [0.706, 0.706, 0.500], [0.794, 0.794, 0.000], [0.127, 0.873, 0.368], [0.373, 0.627, 0.868], [0.627, 0.373, 0.132], [0.873, 0.127, 0.632]]}



{"formula": "Ho2Ga3Pd5", "functional": "PBE", "state": "optimized geometry", "e_tot_ev_per_atom": -5.196, "n_ef_per_ev_cell": 9.707, "de_polymorph_mev_per_atom": 50, "density_g_cm3": 9.7, "e_form_kj_per_mol_fu": -749, "cell": [[-5.647, 5.692, 2.863], [5.647, -5.692, 2.863], [5.647, 5.692, -2.863]], "species": ["Ho", "Ho", "Ho", "Ho", "Ga", "Ga", "Ga", "Ga", "Ga", "Ga", "Pd", "Pd", "Pd", "Pd", "Pd", "Pd", "Pd", "Pd", "Pd", "Pd"], "fractional_positions": [[0.222, 0.137, 0.359], [0.278, 0.637, 0.914], [0.722, 0.363, 0.086], [0.778, 0.863, 0.641], [0.120, 0.862, 0.982], [0.250, 0.750, 0.500], [0.380, 0.362, 0.743], [0.620, 0.638, 0.257], [0.750, 0.250, 0.500], [0.880, 0.138, 0.018], [0.169, 0.406, 0.575], [0.250, 0.250, 0.000], [0.250, 0.522, 0.272], [0.250, 0.978, 0.728], [0.331, 0.906, 0.236], [0.669, 0.094, 0.764], [0.750, 0.022, 0.272], [0.750, 0.478, 0.728], [0.750, 0.750, 0.000], [0.831, 0.594, 0.425]]}



{"formula": "Ho2Ga3Pd8", "functional": "PBE", "state": "optimized geometry", "e_tot_ev_per_atom": -5.269, "n_ef_per_ev_cell": 4.921, "density_g_cm3": 10.1, "e_form_kj_per_mol_fu": -841, "cell": [[6.505, -2.762, 0.000], [6.505, 2.762, 0.000], [-4.581, 0.000, 6.392]], "species": ["Ho", "Ho", "Ga", "Ga", "Ga", "Pd", "Pd", "Pd", "Pd", "Pd", "Pd", "Pd", "Pd"], "fractional_positions": [[0.135, 0.135, 0.256], [0.865, 0.865, 0.744], [0.239, 0.761, 0.500], [0.500, 0.500, 0.000], [0.761, 0.239, 0.500], [0.127, 0.631, 0.095], [0.215, 0.215, 0.705], [0.369, 0.873, 0.905], [0.383, 0.383, 0.599], [0.617, 0.617, 0.401], [0.631, 0.127, 0.095], [0.785, 0.785, 0.295], [0.873, 0.369, 0.905]]}



{"formula": "Ho2Ga3Pd5", "functional": "PBE", "state": "optimized geometry", "e_tot_ev_per_atom": -5.246, "n_ef_per_ev_cell": 8.648, "de_polymorph_mev_per_atom": 0, "density_g_cm3": 10.1, "e_form_kj_per_mol_fu": -797, "cell": [[2.094, -12.462, 0.000], [2.094, 12.462, 0.000], [0.000, 0.000, 6.761]], "species": ["Ho", "Ho", "Ho", "Ho", "Ga", "Ga", "Ga", "Ga", "Ga", "Ga", "Pd", "Pd", "Pd", "Pd", "Pd", "Pd", "Pd", "Pd", "Pd", "Pd"], "fractional_positions": [[0.026, 0.974, 0.500], [0.324, 0.676, 0.550], [0.676, 0.324, 0.050], [0.974, 0.026, 0.000], [0.126, 0.874, 0.729], [0.284, 0.716, 0.099], [0.457, 0.543, 0.691], [0.543, 0.457, 0.191], [0.716, 0.284, 0.599], [0.874, 0.126, 0.229], [0.097, 0.903, 0.125], [0.196, 0.804, 0.367], [0.226, 0.774, 0.798], [0.382, 0.618, 0.955], [0.442, 0.558, 0.316], [0.558, 0.442, 0.816], [0.618, 0.382, 0.455], [0.774, 0.226, 0.298], [0.804, 0.196, 0.867], [0.903, 0.097, 0.625]]}



{"formula": "Pm2HoGa3Pd4", "functional": "PBE", "state": "optimized geometry", "e_tot_ev_per_atom": -5.190, "n_ef_per_ev_cell": 8.389, "density_g_cm3": 8.8, "e_form_kj_per_mol_fu": -769, "cell": [[4.269, 0.000, 0.000], [0.000, 4.269, 0.000], [0.000, 0.000, 11.332]], "species": ["Pm", "Pm", "Ho", "Ga", "Ga", "Ga", "Pd", "Pd", "Pd", "Pd"], "fractional_positions": [[0.000, 0.500, 0.227], [0.500, 0.000, 0.773], [0.000, 0.000, 0.500], [0.000, 0.500, 0.878], [0.500, 0.000, 0.122], [0.500, 0.500, 0.500], [0.000, 0.000, 0.000], [0.000, 0.500, 0.657], [0.500, 0.000, 0.343], [0.500, 0.500, 0.000]]}



{"formula": "PmHoGa2Pd5", "functional": "PBE", "state": "optimized geometry", "e_tot_ev_per_atom": -5.379, "n_ef_per_ev_cell": 5.406, "density_g_cm3": 9.8, "e_form_kj_per_mol_fu": -682, "cell": [[4.233, 0.000, 0.000], [0.000, 4.233, 0.000], [0.000, 0.000, 9.279]], "species": ["Pm", "Ho", "Ga", "Ga", "Pd", "Pd", "Pd", "Pd", "Pd"], "fractional_positions": [[0.000, 0.000, 0.000], [0.000, 0.000, 0.500], [0.500, 0.500, 0.367], [0.500, 0.500, 0.633], [0.000, 0.500, 0.227], [0.000, 0.500, 0.773], [0.500, 0.000, 0.227], [0.500, 0.000, 0.773], [0.500, 0.500, 0.000]]}



{"formula": "PmHoGaPd", "functional": "PBE", "state": "optimized geometry", "e_tot_ev_per_atom": -5.051, "n_ef_per_ev_cell": 3.522, "de_polymorph_mev_per_atom": 45, "density_g_cm3": 8.7, "e_form_kj_per_mol_fu": -256, "cell": [[0.000, 3.593, 3.593], [3.593, 0.000, 3.593], [3.593, 3.593, 0.000]], "species": ["Pm", "Ho", "Ga", "Pd"], "fractional_positions": [[0.000, 0.000, 0.000], [0.500, 0.500, 0.500], [0.750, 0.750, 0.750], [0.250, 0.250, 0.250]]}



{"formula": "PmHoGaPd", "functional": "PBE", "state": "optimized geometry", "e_tot_ev_per_atom": -5.097, "n_ef_per_ev_cell": 4.065, "de_polymorph_mev_per_atom": 0, "density_g_cm3": 8.5, "e_form_kj_per_mol_fu": -274, "cell": [[4.487, 0.000, 0.000], [0.000, 1.901, 5.587], [0.000, -1.901, 5.587]], "species": ["Pm", "Ho", "Ga", "Pd"], "fractional_positions": [[0.000, 0.000, 0.000], [0.500, 0.715, 0.715], [0.500, 0.428, 0.428], [0.000, 0.278, 0.278]]}